(1)
A geometry-optimized NdDyAlSi structure. Source: the Alexandria database, functional PBE.

Lattice parameters (Å, degrees): 4.033 4.402 11.095 90.00 90.00 90.00
Sites, in units of the cell vectors:
Nd: 0.000 0.000 0.000
Nd: 0.000 0.500 0.500
Dy: 0.500 0.000 0.283
Dy: 0.500 0.500 0.783
Al: 0.500 0.000 0.577
Al: 0.500 0.500 0.077
Si: 0.000 0.000 0.719
Si: 0.000 0.500 0.219

Values from the calculation:
- Formation energy from raw total energies: -0.619 eV per atom
- Space group: Amm2, No. 38


(2)
A geometry-optimized NaAg2Te2 structure. Source: the Alexandria database, functional PBE.

Lattice parameters (Å, degrees): 8.354 8.354 3.600 90.00 90.00 90.00
Sites, in units of the cell vectors:
Na: 0.000 0.000 0.000
Na: 0.500 0.500 0.000
Ag: 0.121 0.379 0.000
Ag: 0.379 0.879 0.000
Ag: 0.621 0.121 0.000
Ag: 0.879 0.621 0.000
Te: 0.182 0.682 0.500
Te: 0.318 0.182 0.500
Te: 0.682 0.818 0.500
Te: 0.818 0.318 0.500

Values from the calculation:
- Formation energy from raw total energies: -0.189 eV per atom
- Energy above the most stable polymorph in this dataset: 97.4 meV/atom
- Space group: P4/mbm, No. 127


(3)
A geometry-optimized CePbBr2 structure. Source: the Alexandria database, functional PBE.

Lattice parameters (Å, degrees): 3.734 3.734 31.947 90.00 90.00 120.00
Sites, in units of the cell vectors:
Ce: 0.000 0.000 0.000
Ce: 0.333 0.667 0.667
Ce: 0.667 0.333 0.333
Pb: 0.000 0.000 0.500
Pb: 0.333 0.667 0.167
Pb: 0.667 0.333 0.833
Br: 0.000 0.000 0.399
Br: 0.000 0.000 0.601
Br: 0.333 0.667 0.065
Br: 0.333 0.667 0.268
Br: 0.667 0.333 0.732
Br: 0.667 0.333 0.935

Values from the calculation:
- Formation energy from raw total energies: -1.010 eV per atom
- Space group: R-3m, No. 166


(4)
A geometry-optimized Cr2AgOs structure. Source: the Alexandria database, functional PBE.

Lattice parameters (Å, degrees): 6.864 6.864 5.294 90.00 90.00 90.00
Sites, in units of the cell vectors:
Cr: 0.211 0.250 0.125
Cr: 0.250 0.711 0.375
Cr: 0.250 0.789 0.875
Cr: 0.289 0.250 0.625
Cr: 0.711 0.750 0.625
Cr: 0.750 0.211 0.875
Cr: 0.750 0.289 0.375
Cr: 0.789 0.750 0.125
Ag: 0.000 0.000 0.500
Ag: 0.000 0.500 0.750
Ag: 0.500 0.000 0.250
Ag: 0.500 0.500 0.000
Os: 0.000 0.000 0.000
Os: 0.000 0.500 0.250
Os: 0.500 0.000 0.750
Os: 0.500 0.500 0.500

Values from the calculation:
- Formation energy: 0.962 eV per atom
- Space group: I-42d, No. 122


(5)
A geometry-optimized CdAgH2 structure. Source: the Alexandria database, functional PBE.

Lattice parameters (Å, degrees): 4.697 4.697 9.382 90.00 90.00 90.00
Sites, in units of the cell vectors:
Cd: 0.000 0.000 0.000
Cd: 0.000 0.500 0.250
Cd: 0.500 0.000 0.750
Cd: 0.500 0.500 0.500
Ag: 0.000 0.000 0.500
Ag: 0.000 0.500 0.750
Ag: 0.500 0.000 0.250
Ag: 0.500 0.500 0.000
H: 0.209 0.250 0.625
H: 0.250 0.709 0.875
H: 0.250 0.791 0.375
H: 0.291 0.250 0.125
H: 0.709 0.750 0.125
H: 0.750 0.209 0.375
H: 0.750 0.291 0.875
H: 0.791 0.750 0.625

Values from the calculation:
- Energy above the most stable polymorph in this dataset: 45.8 meV/atom
- Space group: I-42d, No. 122


(6)
A geometry-optimized ScHg4Ru structure. Source: the Alexandria database, functional PBE.

Lattice parameters (Å, degrees): 5.625 5.625 5.625 60.00 60.00 60.00
Sites, in units of the cell vectors:
Sc: 0.000 0.000 0.000
Hg: 0.126 0.625 0.625
Hg: 0.625 0.126 0.625
Hg: 0.625 0.625 0.126
Hg: 0.625 0.625 0.625
Ru: 0.250 0.250 0.250

Values from the calculation:
- Formation energy: 0.342 eV per atom
- Space group: F-43m, No. 216


(7)
A geometry-optimized U2TlS6 structure. Source: the Alexandria database, functional PBE.

Lattice parameters (Å, degrees): 6.429 6.429 12.298 90.00 90.00 90.00
Sites, in units of the cell vectors:
U: 0.000 0.000 0.167
U: 0.000 0.000 0.833
U: 0.500 0.500 0.333
U: 0.500 0.500 0.667
Tl: 0.000 0.000 0.500
Tl: 0.500 0.500 0.000
S: 0.173 0.173 0.000
S: 0.216 0.216 0.304
S: 0.216 0.216 0.696
S: 0.284 0.716 0.196
S: 0.284 0.716 0.804
S: 0.327 0.673 0.500
S: 0.673 0.327 0.500
S: 0.716 0.284 0.196
S: 0.716 0.284 0.804
S: 0.784 0.784 0.304
S: 0.784 0.784 0.696
S: 0.827 0.827 0.000

Values from the calculation:
- Formation energy from raw total energies: -0.941 eV per atom
- Energy above the most stable polymorph in this dataset: 0.0 meV/atom
- Space group: P4_2/mnm, No. 136


(8)
A geometry-optimized AcEr2Ga structure. Source: the Alexandria database, functional PBE.

Lattice parameters (Å, degrees): 3.607 3.607 9.124 90.00 90.00 90.00
Sites, in units of the cell vectors:
Ac: 0.000 0.000 0.000
Er: 0.500 0.500 0.307
Er: 0.500 0.500 0.693
Ga: 0.000 0.000 0.500

Values from the calculation:
- Formation energy: -0.243 eV per atom
- Energy above the most stable polymorph in this dataset: 0.0 meV/atom
- Space group: P4/mmm, No. 123


(9)
A geometry-optimized Np2USb4 structure. Source: the Alexandria database, functional PBE.

Lattice parameters (Å, degrees): 9.027 9.027 9.027 33.57 33.57 33.57
Sites, in units of the cell vectors:
Np: 0.244 0.244 0.244
Np: 0.756 0.756 0.756
U: 0.000 0.000 0.000
Sb: 0.125 0.125 0.125
Sb: 0.375 0.375 0.375
Sb: 0.625 0.625 0.625
Sb: 0.875 0.875 0.875

Values from the calculation:
- Formation energy from raw total energies: -0.059 eV per atom
- Energy above the most stable polymorph in this dataset: 0.0 meV/atom
- Space group: R-3m, No. 166


(10)
A geometry-optimized LaYErLu structure. Source: the Alexandria database, functional PBE.

Lattice parameters (Å, degrees): 8.064 8.064 8.064 90.00 90.00 90.00
Sites, in units of the cell vectors:
La: 0.000 0.000 0.000
La: 0.000 0.500 0.500
La: 0.500 0.000 0.500
La: 0.500 0.500 0.000
Y: 0.000 0.000 0.500
Y: 0.000 0.500 0.000
Y: 0.500 0.000 0.000
Y: 0.500 0.500 0.500
Er: 0.250 0.250 0.750
Er: 0.250 0.750 0.250
Er: 0.750 0.250 0.250
Er: 0.750 0.750 0.750
Lu: 0.250 0.250 0.250
Lu: 0.250 0.750 0.750
Lu: 0.750 0.250 0.750
Lu: 0.750 0.750 0.250

Values from the calculation:
- Formation energy: 0.094 eV per atom
- Space group: F-43m, No. 216


(11)
A geometry-optimized SrPmTlAu structure. Source: the Alexandria database, functional PBE.

Lattice parameters (Å, degrees): 7.733 7.733 7.733 90.00 90.00 90.00
Sites, in units of the cell vectors:
Sr: 0.000 0.000 0.000
Sr: 0.000 0.500 0.500
Sr: 0.500 0.000 0.500
Sr: 0.500 0.500 0.000
Pm: 0.000 0.000 0.500
Pm: 0.000 0.500 0.000
Pm: 0.500 0.000 0.000
Pm: 0.500 0.500 0.500
Tl: 0.250 0.250 0.250
Tl: 0.250 0.750 0.750
Tl: 0.750 0.250 0.750
Tl: 0.750 0.750 0.250
Au: 0.250 0.250 0.750
Au: 0.250 0.750 0.250
Au: 0.750 0.250 0.250
Au: 0.750 0.750 0.750

Values from the calculation:
- Formation energy: -0.508 eV per atom
- Space group: F-43m, No. 216


(12)
A geometry-optimized TaP2Au structure. Source: the Alexandria database, functional PBE.

Lattice parameters (Å, degrees): 6.339 6.339 6.339 90.00 90.00 90.00
Sites, in units of the cell vectors:
Ta: 0.000 0.000 0.000
Ta: 0.000 0.500 0.500
Ta: 0.500 0.000 0.500
Ta: 0.500 0.500 0.000
P: 0.250 0.250 0.250
P: 0.250 0.250 0.750
P: 0.250 0.750 0.250
P: 0.250 0.750 0.750
P: 0.750 0.250 0.250
P: 0.750 0.250 0.750
P: 0.750 0.750 0.250
P: 0.750 0.750 0.750
Au: 0.000 0.000 0.500
Au: 0.000 0.500 0.000
Au: 0.500 0.000 0.000
Au: 0.500 0.500 0.500

Values from the calculation:
- Formation energy: 0.215 eV per atom
- Energy above the most stable polymorph in this dataset: 425.7 meV/atom
- Space group: Fm-3m, No. 225


What did the fifth record say?
A geometry-optimized CdAgH2 structure. Source: the Alexandria database, functional PBE.

Lattice parameters (Å, degrees): 4.697 4.697 9.382 90.00 90.00 90.00
Sites, in units of the cell vectors:
Cd: 0.000 0.000 0.000
Cd: 0.000 0.500 0.250
Cd: 0.500 0.000 0.750
Cd: 0.500 0.500 0.500
Ag: 0.000 0.000 0.500
Ag: 0.000 0.500 0.750
Ag: 0.500 0.000 0.250
Ag: 0.500 0.500 0.000
H: 0.209 0.250 0.625
H: 0.250 0.709 0.875
H: 0.250 0.791 0.375
H: 0.291 0.250 0.125
H: 0.709 0.750 0.125
H: 0.750 0.209 0.375
H: 0.750 0.291 0.875
H: 0.791 0.750 0.625

Values from the calculation:
- Energy above the most stable polymorph in this dataset: 45.8 meV/atom
- Space group: I-42d, No. 122